This record from Alexandria describes a relaxed structure of TiIn3B. The functional is GGA-PBE.

Unit cell a=4.747 b=4.747 c=4.747 alpha=90.00 beta=90.00 gamma=90.00
Space group Pm-3m (No. 221)
Asymmetric unit:
Ti (0.000, 0.000, 0.000)
In (0.000, 0.500, 0.500)
B (0.500, 0.500, 0.500)

ΔE to the lowest computed polymorph, kJ per mole of atoms: 0.0
ΔE_f, meV per atom: 808
VASP energy, eV/atom: -3.75